(1)
Compound: Be3FePd
Source: Alexandria via LeMat-Bulk
Functional: PBE-GGA
Structure: optimized geometry

Computed properties:
space group: Pm-3m, No. 221
calculated total energy: -4.274 eV/atom
mass density: 4.460 g cm⁻³

abc: 4.131 4.131 4.131
angles: 90.00 90.00 90.00
Last column: magnetic moment on the atom in μB.
Fractional coordinates of all 5 atoms:
Be 0.000 0.500 0.000  -0.01
Be 0.000 0.000 0.500  -0.04
Be 0.500 0.000 0.000  -0.01
Fe 0.500 0.500 0.500  3.05
Pd 0.000 0.000 0.000  0.01

---

(2)
Compound: BeFe3Pd
Source: Alexandria via LeMat-Bulk
Functional: PBE-GGA
Structure: optimized geometry

Computed properties:
space group: Pm-3m, No. 221
calculated total energy: -6.113 eV/atom
mass density: 8.254 g cm⁻³

abc: 3.847 3.847 3.847
angles: 90.00 90.00 90.00
Fractional coordinates of all 5 atoms:
Be 0.000 0.000 0.000
Fe 0.000 0.500 0.000
Fe 0.000 0.000 0.500
Fe 0.500 0.000 0.000
Pd 0.500 0.500 0.500

---

(3)
Compound: Be3FePd
Source: Alexandria via LeMat-Bulk
Functional: PBE-GGA
Structure: optimized geometry

Computed properties:
space group: Pm-3m, No. 221
calculated total energy: -4.382 eV/atom
mass density: 5.426 g cm⁻³

abc: 3.869 3.869 3.869
angles: 90.00 90.00 90.00
Fractional coordinates of all 5 atoms:
Be 0.000 0.500 0.000
Be 0.000 0.000 0.500
Be 0.500 0.000 0.000
Fe 0.000 0.000 0.000
Pd 0.500 0.500 0.500

---

(4)
Compound: BeFePd
Source: Alexandria via LeMat-Bulk
Functional: PBE-GGA
Structure: optimized geometry

Computed properties:
space group: I4mm, No. 107
calculated total energy: -6.024 eV/atom
mass density: 8.198 g cm⁻³

abc: 2.700 2.700 5.128
angles: 105.26 105.26 90.00
Last column: magnetic moment on the atom in μB.
Fractional coordinates of all 3 atoms:
Be 0.666 0.666 0.332  -0.07
Fe 0.017 0.017 0.035  2.51
Pd 0.317 0.317 0.633  0.11

---

(5)
Compound: BeFePdPt
Source: Alexandria via LeMat-Bulk
Functional: PBE-GGA
Structure: optimized geometry

Computed properties:
space group: P4mm, No. 99
calculated total energy: -6.289 eV/atom
mass density: 11.946 g cm⁻³

abc: 2.761 2.761 6.681
angles: 90.00 90.00 90.00
Last column: magnetic moment on the atom in μB.
Fractional coordinates of all 4 atoms:
Be 0.000 0.000 0.568  -0.01
Fe 0.000 0.000 0.071  3.04
Pd 0.500 0.500 0.791  0.19
Pt 0.500 0.500 0.354  0.18

---

(6)
Compound: BeFeSiPd
Source: Alexandria via LeMat-Bulk
Functional: PBE-GGA
Structure: optimized geometry

Computed properties:
space group: F-43m, No. 216
calculated total energy: -6.087 eV/atom
mass density: 7.426 g cm⁻³

abc: 3.980 3.980 3.980
angles: 60.00 60.00 60.00
Last column: magnetic moment on the atom in μB.
Fractional coordinates of all 4 atoms:
Be 0.000 0.000 0.000  -0.01
Si 0.500 0.500 0.500  -0.01
Fe 0.250 0.250 0.250  0.32
Pd 0.750 0.750 0.750  0.02

---

(7)
Compound: Y2BeFePd
Source: Alexandria via LeMat-Bulk
Functional: PBE-GGA
Structure: optimized geometry

Computed properties:
space group: P4/mmm, No. 123
calculated total energy: -5.822 eV/atom
mass density: 5.575 g cm⁻³

abc: 5.116 3.973 5.116
angles: 90.00 90.00 90.00
Last column: magnetic moment on the atom in μB.
Fractional coordinates of all 5 atoms:
Y 0.000 0.000 0.500  -0.17
Y 0.500 0.000 0.000  -0.18
Be 0.000 0.000 0.000  -0.01
Fe 0.500 0.500 0.500  2.79
Pd 0.000 0.500 0.000  0.03

---

(8)
Compound: BeZnFe2Pd
Source: Alexandria via LeMat-Bulk
Functional: PBE-GGA
Structure: optimized geometry

Computed properties:
space group: P4/mmm, No. 123
calculated total energy: -4.132 eV/atom
mass density: 4.816 g cm⁻³

abc: 4.656 4.653 4.656
angles: 90.00 90.00 90.00
Last column: magnetic moment on the atom in μB.
Fractional coordinates of all 5 atoms:
Be 0.500 0.500 0.500  -0.07
Zn 0.000 0.500 0.000  -0.02
Fe 0.000 0.000 0.500  3.55
Fe 0.500 0.000 0.000  2.81
Pd 0.000 0.000 0.000  0.28

---

(9)
Compound: Pm2BeFePt6
Source: Alexandria via LeMat-Bulk
Functional: PBE-GGA
Structure: optimized geometry

Computed properties:
space group: R-3m, No. 166
calculated total energy: -6.497 eV/atom
mass density: 13.518 g cm⁻³

abc: 5.712 7.407 7.407
angles: 45.36 67.32 90.00
Last column: magnetic moment on the atom in μB.
Fractional coordinates of all 10 atoms:
Pm 0.711 0.289 0.578  -0.04
Pm 0.289 0.711 0.422  -0.04
Be 0.500 0.500 0.000  0.01
Fe 0.000 0.000 0.000  3.07
Pt 0.260 0.228 0.481  0.15
Pt 0.772 0.741 0.969  0.15
Pt 0.260 0.741 0.969  0.15
Pt 0.740 0.259 0.031  0.15
Pt 0.228 0.259 0.031  0.15
Pt 0.740 0.772 0.519  0.15

---

(10)
Compound: Be2FePt2
Source: Alexandria via LeMat-Bulk
Functional: PBE-GGA
Structure: optimized geometry

Computed properties:
space group: I4/mmm, No. 139
calculated total energy: -5.657 eV/atom
mass density: 12.548 g cm⁻³

abc: 3.144 3.144 6.600
angles: 76.22 76.22 90.00
Fractional coordinates of all 5 atoms:
Be 0.750 0.250 0.500
Be 0.250 0.750 0.500
Fe 0.000 0.000 0.000
Pt 0.388 0.388 0.224
Pt 0.612 0.612 0.776

---

(11)
Compound: BeFePt2
Source: Alexandria via LeMat-Bulk
Functional: PBE-GGA
Structure: optimized geometry

Computed properties:
space group: Cm, No. 8
calculated total energy: -6.401 eV/atom
mass density: 14.384 g cm⁻³

abc: 4.753 4.753 4.368
angles: 73.09 73.09 33.98
Last column: magnetic moment on the atom in μB.
Fractional coordinates of all 4 atoms:
Be 0.500 0.500 0.555  -0.02
Fe 0.236 0.236 0.214  2.94
Pt 0.992 0.992 0.047  0.27
Pt 0.773 0.773 0.684  0.26

---

(12)
Compound: BeFePt2
Source: Alexandria via LeMat-Bulk
Functional: PBE-GGA
Structure: optimized geometry

Computed properties:
space group: R-3m, No. 166
calculated total energy: -6.391 eV/atom
mass density: 14.322 g cm⁻³

abc: 8.184 8.184 8.184
angles: 19.38 19.38 19.38
Last column: magnetic moment on the atom in μB.
Fractional coordinates of all 4 atoms:
Be 0.250 0.250 0.250  -0.02
Fe 0.750 0.750 0.750  2.83
Pt 0.992 0.992 0.992  0.11
Pt 0.508 0.508 0.508  0.11